(1)
The following is a DFT calculation (PBE-GGA) of crystalline TaMn3In at its relaxed geometry.

The structure in CIF format:
```
data_TaMn3In
_chemical_formula_sum 'Ta1 Mn3 In1'
_symmetry_space_group_name_H-M 'P 1'
_symmetry_Int_Tables_number 1
_cell_length_a 4.781
_cell_length_b 4.781
_cell_length_c 4.781
_cell_angle_alpha 90.00
_cell_angle_beta 90.00
_cell_angle_gamma 90.00
loop_
_symmetry_equiv_pos_as_xyz
'x,y,z'
loop_
_atom_site_label
_atom_site_type_symbol
_atom_site_fract_x
_atom_site_fract_y
_atom_site_fract_z
In1 In 0.000 0.000 0.000
Mn1 Mn 0.000 0.500 0.000
Mn2 Mn 0.000 0.000 0.500
Mn3 Mn 0.500 0.000 0.000
Ta1 Ta 0.500 0.500 0.500
```

Results
- Space-group type: Pm-3m (221)
- Calculated formation energy: 160 kJ/mol of atoms
- Total moment: 8.679 μB/cell
- ΔE to the lowest computed polymorph: 0.467 eV/atom

---

(2)
The following is a DFT calculation (PBE-GGA) of crystalline NdLuMnHg at its relaxed geometry.

The structure in CIF format:
```
data_NdLuMnHg
_chemical_formula_sum 'Nd1 Lu1 Mn1 Hg1'
_symmetry_space_group_name_H-M 'P 1'
_symmetry_Int_Tables_number 1
_cell_length_a 5.186
_cell_length_b 5.186
_cell_length_c 5.186
_cell_angle_alpha 60.00
_cell_angle_beta 60.00
_cell_angle_gamma 60.00
loop_
_symmetry_equiv_pos_as_xyz
'x,y,z'
loop_
_atom_site_label
_atom_site_type_symbol
_atom_site_fract_x
_atom_site_fract_y
_atom_site_fract_z
Lu1 Lu 0.250 0.250 0.250
Nd1 Nd 0.750 0.750 0.750
Hg1 Hg 0.500 0.500 0.500
Mn1 Mn 0.000 0.000 0.000
```

Results
- Space-group type: F-43m (216)
- Calculated formation energy: -5 kJ/mol of atoms
- Total moment: 3.098 μB/cell

---

(3)
The following is a DFT calculation (PBE-GGA) of crystalline Tc2Cl3 at its relaxed geometry.

The structure in CIF format:
```
data_Tc2Cl3
_chemical_formula_sum 'Tc2 Cl3'
_symmetry_space_group_name_H-M 'P 1'
_symmetry_Int_Tables_number 1
_cell_length_a 4.646
_cell_length_b 4.646
_cell_length_c 5.404
_cell_angle_alpha 90.00
_cell_angle_beta 90.00
_cell_angle_gamma 120.00
loop_
_symmetry_equiv_pos_as_xyz
'x,y,z'
loop_
_atom_site_label
_atom_site_type_symbol
_atom_site_fract_x
_atom_site_fract_y
_atom_site_fract_z
Tc1 Tc 0.667 0.333 0.134
Tc2 Tc 0.333 0.667 0.866
Cl1 Cl 0.000 0.000 0.000
Cl2 Cl 0.667 0.333 0.662
Cl3 Cl 0.333 0.667 0.338
```

Results
- Energy relative to the elements, uncorrected: 0.5110 eV/atom
- Space-group type: P-3m1 (164)
- Total moment: 6.911 μB/cell

---

(4)
The following is a DFT calculation (PBE-GGA) of crystalline CaCd3N at its relaxed geometry.

The structure in CIF format:
```
data_CaCd3N
_chemical_formula_sum 'Ca1 Cd3 N1'
_symmetry_space_group_name_H-M 'P 1'
_symmetry_Int_Tables_number 1
_cell_length_a 4.819
_cell_length_b 4.819
_cell_length_c 4.819
_cell_angle_alpha 90.00
_cell_angle_beta 90.00
_cell_angle_gamma 90.00
loop_
_symmetry_equiv_pos_as_xyz
'x,y,z'
loop_
_atom_site_label
_atom_site_type_symbol
_atom_site_fract_x
_atom_site_fract_y
_atom_site_fract_z
Ca1 Ca 0.500 0.500 0.500
N1 N 0.000 0.000 0.000
Cd1 Cd 0.000 0.500 0.000
Cd2 Cd 0.000 0.000 0.500
Cd3 Cd 0.500 0.000 0.000
```

Results
- Energy relative to the elements, uncorrected: 0.4038 eV/atom
- Space-group type: Pm-3m (221)
- Total moment: 0.000 μB/cell
- ΔE to the lowest computed polymorph: 0.000 eV/atom

---

(5)
The following is a DFT calculation (PBE-GGA) of crystalline CsRb7Hg2 at its relaxed geometry.

The structure in CIF format:
```
data_CsRb7Hg2
_chemical_formula_sum 'Cs1 Rb7 Hg2'
_symmetry_space_group_name_H-M 'P 1'
_symmetry_Int_Tables_number 1
_cell_length_a 7.249
_cell_length_b 11.070
_cell_length_c 11.070
_cell_angle_alpha 115.22
_cell_angle_beta 90.00
_cell_angle_gamma 90.00
loop_
_symmetry_equiv_pos_as_xyz
'x,y,z'
loop_
_atom_site_label
_atom_site_type_symbol
_atom_site_fract_x
_atom_site_fract_y
_atom_site_fract_z
Cs1 Cs 0.000 0.000 0.000
Rb1 Rb 0.000 0.698 0.302
Rb2 Rb 0.000 0.302 0.698
Rb3 Rb 0.500 0.054 0.335
Rb4 Rb 0.500 0.946 0.665
Rb5 Rb 0.500 0.335 0.054
Rb6 Rb 0.500 0.665 0.946
Rb7 Rb 0.500 0.500 0.500
Hg1 Hg 0.500 0.701 0.299
Hg2 Hg 0.500 0.299 0.701
```

Results
- Space-group type: Cmmm (65)
- Calculated formation energy: -6 kJ/mol of atoms
- Total moment: 0.000 μB/cell

---

(6)
The following is a DFT calculation (PBE-GGA) of crystalline Na2BiO3 at its relaxed geometry.

The structure in CIF format:
```
data_Na2BiO3
_chemical_formula_sum 'Na8 Bi4 O12'
_symmetry_space_group_name_H-M 'P 1'
_symmetry_Int_Tables_number 1
_cell_length_a 10.097
_cell_length_b 4.801
_cell_length_c 6.816
_cell_angle_alpha 89.99
_cell_angle_beta 90.00
_cell_angle_gamma 90.00
loop_
_symmetry_equiv_pos_as_xyz
'x,y,z'
loop_
_atom_site_label
_atom_site_type_symbol
_atom_site_fract_x
_atom_site_fract_y
_atom_site_fract_z
Na1 Na 0.749 0.250 0.878
Na2 Na 0.751 0.250 0.378
Na3 Na 0.420 0.250 0.877
Na4 Na 0.080 0.250 0.377
Na5 Na 0.920 0.750 0.623
Na6 Na 0.580 0.750 0.123
Na7 Na 0.249 0.750 0.622
Na8 Na 0.251 0.750 0.122
Bi1 Bi 0.091 0.249 0.863
Bi2 Bi 0.409 0.249 0.363
Bi3 Bi 0.591 0.751 0.637
Bi4 Bi 0.909 0.751 0.137
O1 O 0.572 0.249 0.606
O2 O 0.928 0.249 0.106
O3 O 0.938 0.250 0.658
O4 O 0.562 0.250 0.158
O5 O 0.248 0.250 0.625
O6 O 0.252 0.250 0.125
O7 O 0.748 0.750 0.875
O8 O 0.752 0.750 0.375
O9 O 0.438 0.750 0.842
O10 O 0.062 0.750 0.342
O11 O 0.072 0.751 0.894
O12 O 0.428 0.751 0.394
```

Results
- Energy relative to the elements, uncorrected: -1.3145 eV/atom
- Space-group type: P2_1/c (14)
- Total moment: 0.000 μB/cell

---

(7)
The following is a DFT calculation (PBE-GGA) of crystalline SmHgC2O6 at its relaxed geometry.

The structure in CIF format:
```
data_SmHgC2O6
_chemical_formula_sum 'Sm2 Hg2 C4 O12'
_symmetry_space_group_name_H-M 'P 1'
_symmetry_Int_Tables_number 1
_cell_length_a 6.559
_cell_length_b 6.559
_cell_length_c 7.288
_cell_angle_alpha 106.79
_cell_angle_beta 106.79
_cell_angle_gamma 93.31
loop_
_symmetry_equiv_pos_as_xyz
'x,y,z'
loop_
_atom_site_label
_atom_site_type_symbol
_atom_site_fract_x
_atom_site_fract_y
_atom_site_fract_z
Sm1 Sm 0.595 0.405 0.250
Sm2 Sm 0.405 0.595 0.750
Hg1 Hg 0.107 0.893 0.250
Hg2 Hg 0.893 0.107 0.750
C1 C 0.391 0.137 0.737
C2 C 0.863 0.609 0.763
C3 C 0.609 0.863 0.263
C4 C 0.137 0.391 0.237
O1 O 0.942 0.394 0.232
O2 O 0.606 0.058 0.268
O3 O 0.058 0.606 0.768
O4 O 0.394 0.942 0.732
O5 O 0.196 0.261 0.096
O6 O 0.739 0.804 0.404
O7 O 0.804 0.739 0.904
O8 O 0.261 0.196 0.596
O9 O 0.297 0.523 0.388
O10 O 0.477 0.703 0.112
O11 O 0.703 0.477 0.612
O12 O 0.523 0.297 0.888
```

Results
- Energy relative to the elements, uncorrected: -1.7144 eV/atom
- Space-group type: C2/c (15)
- Total moment: 0.000 μB/cell

---

(8)
The following is a DFT calculation (PBE-GGA) of crystalline BaSiMo2 at its relaxed geometry.

The structure in CIF format:
```
data_BaSiMo2
_chemical_formula_sum 'Ba1 Si1 Mo2'
_symmetry_space_group_name_H-M 'P 1'
_symmetry_Int_Tables_number 1
_cell_length_a 4.433
_cell_length_b 4.433
_cell_length_c 6.565
_cell_angle_alpha 70.43
_cell_angle_beta 70.43
_cell_angle_gamma 60.02
loop_
_symmetry_equiv_pos_as_xyz
'x,y,z'
loop_
_atom_site_label
_atom_site_type_symbol
_atom_site_fract_x
_atom_site_fract_y
_atom_site_fract_z
Ba1 Ba 0.750 0.750 0.750
Mo1 Mo 0.936 0.936 0.193
Mo2 Mo 0.564 0.564 0.307
Si1 Si 0.250 0.250 0.250
```

Results
- Energy relative to the elements, uncorrected: 0.2658 eV/atom
- Space-group type: C2/m (12)
- Total moment: 0.781 μB/cell

---

(9)
The following is a DFT calculation (PBE-GGA) of crystalline Ti2Al3 at its relaxed geometry.

The structure in CIF format:
```
data_Ti2Al3
_chemical_formula_sum 'Ti8 Al12'
_symmetry_space_group_name_H-M 'P 1'
_symmetry_Int_Tables_number 1
_cell_length_a 10.248
_cell_length_b 10.248
_cell_length_c 10.248
_cell_angle_alpha 145.24
_cell_angle_beta 145.24
_cell_angle_gamma 49.98
loop_
_symmetry_equiv_pos_as_xyz
'x,y,z'
loop_
_atom_site_label
_atom_site_type_symbol
_atom_site_fract_x
_atom_site_fract_y
_atom_site_fract_z
Ti1 Ti 0.522 0.291 0.231
Ti2 Ti 0.060 0.291 0.769
Ti3 Ti 0.041 0.310 0.269
Ti4 Ti 0.690 0.959 0.731
Ti5 Ti 0.228 0.959 0.269
Ti6 Ti 0.041 0.772 0.731
Ti7 Ti 0.709 0.940 0.231
Ti8 Ti 0.709 0.478 0.769
Al1 Al 0.081 0.802 0.279
Al2 Al 0.523 0.802 0.721
Al3 Al 0.552 0.773 0.221
Al4 Al 0.227 0.448 0.779
Al5 Al 0.669 0.448 0.221
Al6 Al 0.552 0.331 0.779
Al7 Al 0.198 0.477 0.279
Al8 Al 0.198 0.919 0.721
Al9 Al 0.375 0.125 0.250
Al10 Al 0.875 0.125 0.750
Al11 Al 0.875 0.125 0.250
Al12 Al 0.875 0.625 0.750
```

Results
- Space-group type: I4_1/amd (141)
- Calculated formation energy: -10 kJ/mol of atoms
- Total moment: 1.100 μB/cell

---

(10)
The following is a DFT calculation (PBE-GGA) of crystalline SbH3N at its relaxed geometry.

The structure in CIF format:
```
data_SbH3N
_chemical_formula_sum 'Sb1 H3 N1'
_symmetry_space_group_name_H-M 'P 1'
_symmetry_Int_Tables_number 1
_cell_length_a 3.896
_cell_length_b 3.896
_cell_length_c 3.896
_cell_angle_alpha 90.00
_cell_angle_beta 90.00
_cell_angle_gamma 90.00
loop_
_symmetry_equiv_pos_as_xyz
'x,y,z'
loop_
_atom_site_label
_atom_site_type_symbol
_atom_site_fract_x
_atom_site_fract_y
_atom_site_fract_z
Sb1 Sb 0.000 0.000 0.000
H1 H 0.000 0.500 0.000
H2 H 0.000 0.000 0.500
H3 H 0.500 0.000 0.000
N1 N 0.500 0.500 0.500
```

Results
- Space-group type: Pm-3m (221)
- Total moment: 2.459 μB/cell
- ΔE to the lowest computed polymorph: 0.042 eV/atom

---

(11)
The following is a DFT calculation (PBE-GGA) of crystalline Rb3Nd3ZrTe8 at its relaxed geometry.

The structure in CIF format:
```
data_Rb3Nd3ZrTe8
_chemical_formula_sum 'Rb3 Nd3 Zr1 Te8'
_symmetry_space_group_name_H-M 'P 1'
_symmetry_Int_Tables_number 1
_cell_length_a 9.030
_cell_length_b 9.029
_cell_length_c 10.215
_cell_angle_alpha 116.22
_cell_angle_beta 90.00
_cell_angle_gamma 120.01
loop_
_symmetry_equiv_pos_as_xyz
'x,y,z'
loop_
_atom_site_label
_atom_site_type_symbol
_atom_site_fract_x
_atom_site_fract_y
_atom_site_fract_z
Rb1 Rb 0.000 0.000 0.000
Rb2 Rb 0.000 0.500 0.000
Rb3 Rb 0.500 0.500 0.000
Nd1 Nd 0.500 0.000 0.500
Nd2 Nd 0.500 0.500 0.500
Nd3 Nd 0.000 0.500 0.500
Zr1 Zr 0.000 0.000 0.500
Te1 Te 0.264 0.529 0.293
Te2 Te 0.736 0.471 0.707
Te3 Te 0.779 0.558 0.305
Te4 Te 0.221 0.442 0.695
Te5 Te 0.779 0.026 0.305
Te6 Te 0.221 0.974 0.695
Te7 Te 0.247 0.026 0.305
Te8 Te 0.753 0.974 0.695
```

Results
- Energy relative to the elements, uncorrected: -1.2809 eV/atom
- Space-group type: R-3m (166)
- Total moment: 0.000 μB/cell

---

(12)
The following is a DFT calculation (PBE-GGA) of crystalline LiTiAl at its relaxed geometry.

The structure in CIF format:
```
data_LiTiAl
_chemical_formula_sum 'Li2 Ti2 Al2'
_symmetry_space_group_name_H-M 'P 1'
_symmetry_Int_Tables_number 1
_cell_length_a 4.934
_cell_length_b 4.392
_cell_length_c 6.462
_cell_angle_alpha 77.61
_cell_angle_beta 67.55
_cell_angle_gamma 55.82
loop_
_symmetry_equiv_pos_as_xyz
'x,y,z'
loop_
_atom_site_label
_atom_site_type_symbol
_atom_site_fract_x
_atom_site_fract_y
_atom_site_fract_z
Ti1 Ti 0.750 0.500 0.500
Ti2 Ti 0.250 0.500 0.500
Li1 Li 0.831 0.338 0.000
Li2 Li 0.169 0.662 0.000
Al1 Al 0.609 0.000 0.782
Al2 Al 0.391 0.000 0.218
```

Results
- Space-group type: Fmmm (69)
- Calculated formation energy: 8 kJ/mol of atoms
- Total moment: 0.000 μB/cell
- ΔE to the lowest computed polymorph: 0.287 eV/atom